The following is a DFT calculation (GGA-PBE) of a geometry-optimized Re5Ir structure.

Summary:
The value obtained for the volume is 89.03 Å³/f.u. Its space-group type is No. 38. For the formation energy, the calculation gives -0.1096 eV/atom.

Cell lengths 2.776, 7.368, 4.433 Å; angles 90.00, 90.00, 79.14 degrees
Fractional positions:
Re 0.333 0.334 0.000
Re 0.665 0.669 0.000
Re 0.223 0.554 0.500
Re 0.555 0.889 0.500
Re 0.889 0.223 0.500
Ir 0.001 0.997 0.000